DFT (GGA-PBE) results for a relaxed PmGaTc crystal.

Its uncorrected energy is -6.1973 eV/atom.

It has space group P-6m2 (No. 187), with a = 4.3873 Å, b = 4.3873 Å, c = 3.8534 Å, α = 90.00°, β = 90.00° and γ = 120.00°. Symmetry generates all atoms from Pm at (0.0000, 0.0000, 0.0000), Ga at (0.6667, 0.3333, 0.5000) and Tc at (0.3333, 0.6667, 0.5000).

=====

DFT (GGA-PBE) results for a relaxed PmGaTc crystal.

Its uncorrected energy is -6.0896 eV/atom.

It has space group Pmma (No. 51), with a = 6.9378 Å, b = 3.7740 Å, c = 5.0461 Å, α = 90.00°, β = 90.00° and γ = 90.00°. Symmetry generates all atoms from Pm at (0.2500, 0.0000, 0.0013), Ga at (0.2500, 0.5000, 0.5016) and Tc at (0.0000, 0.0000, 0.5000).

=====

DFT (GGA-PBE) results for a relaxed PmGa8Tc4 crystal.

Its uncorrected energy is -5.7015 eV/atom.

It has space group I4/mmm (No. 139), with a = 9.0638 Å, b = 9.0638 Å, c = 5.2422 Å, α = 90.00°, β = 90.00° and γ = 90.00°. Symmetry generates all atoms from Pm at (0.0000, 0.0000, 0.0000), Ga at (0.0000, 0.2137, 0.5000), Ga at (0.0000, 0.3470, 0.0000) and Tc at (0.2500, 0.2500, 0.2500).

=====

DFT (GGA-PBE) results for a relaxed PmGaTc crystal.

Its uncorrected energy is -6.4229 eV/atom.

It has space group Imma (No. 74), with a = 5.3604 Å, b = 5.7863 Å, c = 7.5461 Å, α = 90.00°, β = 90.00° and γ = 90.00°. Symmetry generates all atoms from Pm at (0.0000, 0.2500, 0.1137), Ga at (0.0000, 0.0000, 0.5000) and Tc at (0.2500, 0.2500, 0.7500).

=====

DFT (GGA-PBE) results for a relaxed Pm2Ga3Tc crystal.

Its uncorrected energy is -5.1209 eV/atom.

It has space group Cmcm (No. 63), with a = 11.3389 Å, b = 8.7306 Å, c = 5.4813 Å, α = 90.00°, β = 90.00° and γ = 90.00°. Symmetry generates all atoms from Pm at (0.1426, 0.1926, 0.2500), Ga at (0.0000, 0.1267, 0.7500), Ga at (0.1737, 0.5000, 0.0000) and Tc at (0.0000, 0.4088, 0.7500).

=====

DFT (GGA-PBE) results for a relaxed Pm2GaTc crystal.

Its uncorrected energy is -5.8343 eV/atom.

It has space group Fm-3m (No. 225), with a = 7.1852 Å, b = 7.1852 Å, c = 7.1852 Å, α = 90.00°, β = 90.00° and γ = 90.00°. Symmetry generates all atoms from Pm at (0.2500, 0.2500, 0.2500), Ga at (0.0000, 0.0000, 0.0000) and Tc at (0.0000, 0.0000, 0.5000).

=====

DFT (GGA-PBE) results for a relaxed Pm3Ga9Tc2 crystal.

Its uncorrected energy is -4.9343 eV/atom.

It has space group Immm (No. 71), with a = 4.3061 Å, b = 9.5036 Å, c = 12.9073 Å, α = 90.00°, β = 90.00° and γ = 90.00°. Symmetry generates all atoms from Pm at (0.0000, 0.0000, 0.0000), Pm at (0.0000, 0.0000, 0.3015), Ga at (0.0000, 0.2834, 0.1298), Ga at (0.0000, 0.3620, 0.3470), Ga at (0.0000, 0.5000, 0.0000) and Tc at (0.0000, 0.1786, 0.5000).

=====

DFT (GGA-PBE) results for a relaxed Pm2Ga6Tc crystal.

Its uncorrected energy is -4.3518 eV/atom.

It has space group P-62m (No. 189), with a = 8.0727 Å, b = 8.0727 Å, c = 3.4520 Å, α = 90.00°, β = 90.00° and γ = 120.00°. Symmetry generates all atoms from Pm at (0.3333, 0.6667, 0.0000), Ga at (0.0000, 0.3225, 0.5000), Ga at (0.0000, 0.7556, 0.0000) and Tc at (0.0000, 0.0000, 0.5000).

=====

DFT (GGA-PBE) results for a relaxed PmGa3Tc crystal.

Its uncorrected energy is -5.1395 eV/atom.

It has space group Pm-3m (No. 221), with a = 4.7750 Å, b = 4.7750 Å, c = 4.7750 Å, α = 90.00°, β = 90.00° and γ = 90.00°. Symmetry generates all atoms from Pm at (0.0000, 0.0000, 0.0000), Ga at (0.0000, 0.5000, 0.5000) and Tc at (0.5000, 0.5000, 0.5000).

=====

DFT (GGA-PBE) results for a relaxed PmZrGaTc crystal.

Its uncorrected energy is -6.8612 eV/atom.

It has space group F-43m (No. 216), with a = 6.9232 Å, b = 6.9232 Å, c = 6.9232 Å, α = 90.00°, β = 90.00° and γ = 90.00°. Symmetry generates all atoms from Pm at (0.0000, 0.0000, 0.0000), Zr at (0.0000, 0.0000, 0.5000), Ga at (0.2500, 0.2500, 0.7500) and Tc at (0.2500, 0.2500, 0.2500).

=====

DFT (GGA-PBE) results for a relaxed Pm2GaTe3 crystal.

As for the formation energy (no corrections): -0.92 eV per atom.

It has space group Immm (No. 71), with a = 4.0272 Å, b = 5.3378 Å, c = 17.4533 Å, α = 90.00°, β = 90.00° and γ = 90.00°. Symmetry generates all atoms from Pm at (0.0000, 0.0000, 0.1439), Ga at (0.0000, 0.0000, 0.5000), Te at (0.0000, 0.0000, 0.3256) and Te at (0.0000, 0.5000, 0.5000).

=====

DFT (GGA-PBE) results for a relaxed Pm3GaTe crystal.

As for the formation energy (no corrections): -0.46 eV per atom.

It has space group R32 (No. 155, hexagonal axes), with a = 7.2319 Å, b = 7.2319 Å, c = 23.0928 Å, α = 90.00°, β = 90.00° and γ = 120.00°. Symmetry generates all atoms from Pm at (0.0074, 0.3842, 0.0847), Ga at (0.0000, 0.0000, 0.3315) and Te at (0.0000, 0.0000, 0.1501).

=====

DFT (GGA-PBE) results for a relaxed Pm2GaTe crystal.

As for the formation energy (no corrections): -1.04 eV per atom.

It has space group Cmcm (No. 63), with a = 4.5068 Å, b = 23.8996 Å, c = 4.2754 Å, α = 90.00°, β = 90.00° and γ = 90.00°. Symmetry generates all atoms from Pm at (0.0000, 0.0620, 0.2500), Pm at (0.0000, 0.3306, 0.2500), Ga at (0.0000, 0.4626, 0.2500) and Te at (0.0000, 0.1938, 0.2500).

=====

DFT (GGA-PBE) results for a relaxed Pm2GaTe crystal.

As for the formation energy (no corrections): -0.98 eV per atom.

It has space group R-3m (No. 166, hexagonal axes), with a = 4.2210 Å, b = 4.2210 Å, c = 23.1323 Å, α = 90.00°, β = 90.00° and γ = 120.00°. Symmetry generates all atoms from Pm at (0.0000, 0.0000, 0.2463), Ga at (0.0000, 0.0000, 0.5000) and Te at (0.0000, 0.0000, 0.0000).

=====

DFT (GGA-PBE) results for a relaxed Pm2GaTe crystal.

As for the formation energy (no corrections): -0.82 eV per atom.

It has space group P4/mmm (No. 123), with a = 3.7468 Å, b = 3.7468 Å, c = 7.7646 Å, α = 90.00°, β = 90.00° and γ = 90.00°. Symmetry generates all atoms from Pm at (0.0000, 0.0000, 0.2438), Ga at (0.5000, 0.5000, 0.0000) and Te at (0.5000, 0.5000, 0.5000).

=====

DFT (GGA-PBE) results for a relaxed Pm3GaTe6 crystal.

As for the formation energy (no corrections): -1.15 eV per atom.

It has space group Cmc2_1 (No. 36), with a = 12.3202 Å, b = 15.2013 Å, c = 7.3683 Å, α = 90.00°, β = 90.00° and γ = 90.00°. Symmetry generates all atoms from Pm at (0.0000, 0.0949, 0.0000), Pm at (0.1807, 0.4040, 0.8849), Ga at (0.0000, 0.2957, 0.3522), Te at (0.0000, 0.2782, 0.7108), Te at (0.0000, 0.4598, 0.2053), Te at (0.1634, 0.0383, 0.6946) and Te at (0.1694, 0.2332, 0.1692).

=====

DFT (GGA-PBE) results for a relaxed Pm2GaTe crystal.

As for the formation energy (no corrections): -0.95 eV per atom.

It has space group Pmmn (No. 59, origin choice 2), with a = 4.1920 Å, b = 6.2000 Å, c = 9.1687 Å, α = 90.00°, β = 90.00° and γ = 90.00°. Symmetry generates all atoms from Pm at (0.2500, 0.2500, 0.1230), Pm at (0.2500, 0.2500, 0.6389), Ga at (0.2500, 0.7500, 0.1220) and Te at (0.2500, 0.7500, 0.6195).

=====

DFT (GGA-PBE) results for a relaxed Pm5GaTe8 crystal.

As for the formation energy (no corrections): -1.30 eV per atom.

It has space group I-4 (No. 82), with a = 9.5084 Å, b = 9.5084 Å, c = 9.5180 Å, α = 90.00°, β = 90.00° and γ = 90.00°. Symmetry generates all atoms from Pm at (0.0000, 0.0000, 0.0000), Pm at (0.1278, 0.2461, 0.6227), Ga at (0.0000, 0.5000, 0.2500), Te at (0.0740, 0.3230, 0.9428) and Te at (0.0765, 0.1739, 0.2976).

=====

DFT (GGA-PBE) results for a relaxed Pm8Ga2Te crystal.

As for the formation energy (no corrections): -0.40 eV per atom.

It has space group C2/m (No. 12), with a = 19.8123 Å, b = 4.9263 Å, c = 7.0719 Å, α = 90.00°, β = 101.90° and γ = 90.00°. Symmetry generates all atoms from Pm at (0.0329, 0.0000, 0.2596), Pm at (0.0973, 0.5000, 0.9672), Pm at (0.1652, 0.5000, 0.4914), Pm at (0.2113, 0.0000, 0.8305), Ga at (0.1869, 0.0000, 0.2497) and Te at (0.0000, 0.5000, 0.5000).

=====

DFT (GGA-PBE) results for a relaxed PmGaTe crystal.

As for the formation energy (no corrections): -0.94 eV per atom.

It has space group P2_1/m (No. 11), with a = 4.2454 Å, b = 4.3227 Å, c = 9.0953 Å, α = 90.00°, β = 102.89° and γ = 90.00°. Symmetry generates all atoms from Pm at (0.1162, 0.2500, 0.2143), Ga at (0.4312, 0.7500, 0.0524) and Te at (0.3071, 0.2500, 0.6443).